# PaCoSn2O8 PBE+U relaxed
# **Crystal system**: orthorhombic
# **Final energy**: -7.1737 eV/atom
data_PaCoSn2O8
_symmetry_space_group_name_H-M 'C m m m'
_symmetry_Int_Tables_number 65
_symmetry_space_group_name_Hall '-C 2 2'
_cell_length_a 6.8929
_cell_length_b 6.9437
_cell_length_c 6.4727
_cell_angle_alpha 90.00
_cell_angle_beta 90.00
_cell_angle_gamma 90.00
loop_
_atom_site_label
_atom_site_fract_x
_atom_site_fract_y
_atom_site_fract_z
Pa1 0.0000 0.0000 0.0000
Co1 0.0000 0.0000 0.5000
Sn1 0.0000 0.5000 0.2621
O1 0.0000 0.2939 0.5000
O2 0.0000 0.3160 0.0000
O3 0.1972 0.0000 0.2602